Material: V7P6O24
Method: DFT, GGA+U
State: optimized geometry

POSCAR file:
```
V7P6O24
1.0
6.457 0.007 0.000
-1.684 8.020 -0.035
-2.972 -3.183 8.335
V P O
7 6 24
Direct
0.958 0.286 0.481
0.714 0.184 0.715
0.397 0.461 0.110
0.603 0.539 0.890
0.286 0.816 0.285
0.042 0.714 0.519
0.000 0.000 0.000
0.921 0.408 0.168
0.783 0.866 0.233
0.398 0.240 0.368
0.602 0.760 0.632
0.217 0.134 0.767
0.079 0.592 0.832
0.897 0.215 0.082
0.947 0.455 0.347
0.798 0.060 0.295
0.992 0.825 0.340
0.788 0.819 0.059
0.705 0.457 0.086
0.866 0.465 0.834
0.625 0.230 0.488
0.752 0.726 0.536
0.557 0.747 0.224
0.459 0.381 0.299
0.266 0.052 0.225
0.734 0.948 0.775
0.541 0.619 0.701
0.443 0.253 0.776
0.248 0.274 0.464
0.375 0.770 0.512
0.134 0.535 0.166
0.295 0.543 0.914
0.212 0.181 0.941
0.008 0.175 0.660
0.202 0.940 0.705
0.053 0.545 0.653
0.103 0.785 0.918
```

Calculated values
* SG: P-1, No. 2
* electronic total energy: -283.7 eV/cell
* total magnetic moment: 17.000 Bohr magnetons per cell